CaPu5Rh6 PBE-GGA optimized geometry; electronic total energy = -10.213 eV per atom; calculated formation energy = -0.399 eV per atom
1.0
4.570 0.017 -1.333
-0.937 6.021 -3.136
-0.008 0.517 8.484
Ca Rh Pu
1 6 5
direct
0.000 0.000 0.000 Ca
0.827 0.576 0.653 Rh
0.827 0.078 0.653 Rh
0.500 0.736 0.000 Rh
0.500 0.264 0.000 Rh
0.173 0.922 0.347 Rh
0.173 0.424 0.347 Rh
0.663 0.163 0.326 Pu
0.335 0.335 0.670 Pu
0.000 0.500 0.000 Pu
0.665 0.665 0.330 Pu
0.337 0.837 0.674 Pu